[1]
DFT (GGA-PBE) results for an optimized crystal structure of Ce2PaBi3.

a b c (Å): 4.5567 4.5599 10.2011
angles (deg): 102.92 102.92 89.96
Closest atoms and distances in Å follow each position.
Element x y z (fractional)
1 Ce 0.1021 0.1029 0.2090  6 Bi 3.22-3.25
2 Bi 0.5988 0.6000 0.2028  1 Pa 3.18, 5 Ce 3.22-3.25
3 Ce 0.7670 0.7678 0.5389  6 Bi 3.22-3.25
4 Bi 0.2699 0.2711 0.5451  1 Pa 3.18, 5 Ce 3.22-3.25
5 Bi 0.9340 0.9360 0.8740  4 Pa 3.22, 2 Ce 3.24
6 Pa 0.4335 0.4364 0.8740  6 Bi 3.18-3.22

Summary:
Spin magnetization = 3.2 μB/f.u.
E_tot = -36.21 eV per formula unit
Formation energy from the elements = -0.534 eV/atom

[2]
DFT (GGA-PBE) results for an optimized crystal structure of Tb4NdTm.

a b c (Å): 3.4609 6.0409 10.1353
angles (deg): 87.35 80.17 73.35
Closest atoms and distances in Å follow each position.
Element x y z (fractional)
1 Tb 0.1537 0.0349 0.6578  1 Tm 3.42, 7 Tb 3.46-3.82, 3 Nd 3.47-3.57
2 Tb 0.6548 0.5380 0.1523  7 Tb 3.46-3.82, 3 Tm 3.46-3.53, 1 Nd 3.48
3 Tb 0.3452 0.4620 0.8477  7 Tb 3.46-3.82, 3 Tm 3.46-3.53, 1 Nd 3.48
4 Tm 0.0000 0.0000 0.0000  8 Tb 3.42-3.53, 2 Tm 3.46
5 Nd 0.5000 0.5000 0.5000  2 Nd 3.46, 8 Tb 3.47-3.57
6 Tb 0.8463 0.9651 0.3422  1 Tm 3.42, 7 Tb 3.46-3.82, 3 Nd 3.47-3.57

Summary:
Spin magnetization = 0.0 μB/f.u.
E_tot = -26.59 eV per formula unit
ΔE to the lowest computed polymorph = 0.000 kcal/mol of atoms
Formation energy from the elements = 0.195 eV/atom

[3]
DFT (GGA-PBE) results for an optimized crystal structure of V2ZnAs.

a b c (Å): 4.3027 4.3027 4.3027
angles (deg): 60.00 60.00 60.00
Closest atoms and distances in Å follow each position.
Element x y z (fractional)
1 Zn 0.0000 0.0000 0.0000  8 V 2.63
2 V 0.2500 0.2500 0.2500  4 As 2.63, 4 Zn 2.63
3 V 0.7500 0.7500 0.7500  4 As 2.63, 4 Zn 2.63
4 As 0.5000 0.5000 0.5000  8 V 2.63

Summary:
Spin magnetization = 1.6 μB/f.u.
E_tot = -23.84 eV per formula unit
ΔE to the lowest computed polymorph = 0.000 kcal/mol of atoms
Formation energy from the elements = 0.079 eV/atom

Please write out number 3 again, unchanged.
DFT (GGA-PBE) results for an optimized crystal structure of V2ZnAs.

a b c (Å): 4.3027 4.3027 4.3027
angles (deg): 60.00 60.00 60.00
Closest atoms and distances in Å follow each position.
Element x y z (fractional)
1 Zn 0.0000 0.0000 0.0000  8 V 2.63
2 V 0.2500 0.2500 0.2500  4 As 2.63, 4 Zn 2.63
3 V 0.7500 0.7500 0.7500  4 As 2.63, 4 Zn 2.63
4 As 0.5000 0.5000 0.5000  8 V 2.63

Summary:
Spin magnetization = 1.6 μB/f.u.
E_tot = -23.84 eV per formula unit
ΔE to the lowest computed polymorph = 0.000 kcal/mol of atoms
Formation energy from the elements = 0.079 eV/atom

> Look up the E_tot of the third one.

-23.84 eV per formula unit

> Look up the E_tot of the second one.

-26.59 eV per formula unit

> Which of these has the lowest E_tot?

Ce2PaBi3